Arrangement one

Below is a PBEsol-optimized structure of HgMoIr3, with properties calculated at the SCAN level.

a b c (Å): 4.777 4.777 4.777
angles (deg): 90.00 90.00 90.00
Positions (direct):
Hg 0.000 0.000 0.000
Mo 0.500 0.500 0.500
Ir 0.000 0.000 0.500
Ir 0.000 0.500 0.000
Ir 0.500 0.000 0.000



Arrangement two

Below is a PBEsol-optimized structure of HgMoIr3, with properties calculated at the SCAN level.

a b c (Å): 4.667 4.667 4.667
angles (deg): 90.00 90.00 90.00
Positions (direct):
Hg 0.000 0.000 0.000
Mo 0.500 0.500 0.500
Ir 0.000 0.500 0.500
Ir 0.500 0.000 0.500
Ir 0.500 0.500 0.000



Order of stability, best first: arrangement two, arrangement one



Arrangement one

Below is a PBEsol-optimized structure of NiHg2Ir, with properties calculated at the SCAN level.

a b c (Å): 5.541 5.541 5.541
angles (deg): 149.71 130.43 59.20
Positions (direct):
Ni 0.000 0.000 0.000
Hg 0.243 0.743 0.500
Hg 0.525 0.525 0.000
Ir 0.792 0.292 0.500



Arrangement two

Below is a PBEsol-optimized structure of NiHg2Ir, with properties calculated at the SCAN level.

a b c (Å): 2.848 2.848 9.504
angles (deg): 90.00 90.00 120.15
Positions (direct):
Ni 0.000 0.000 0.000
Hg 0.000 0.000 0.531
Hg 0.500 0.500 0.235
Ir 0.500 0.500 0.792



Arrangement three

Below is a PBEsol-optimized structure of NiHg2Ir, with properties calculated at the SCAN level.

a b c (Å): 4.899 4.899 4.899
angles (deg): 131.83 131.83 70.49
Positions (direct):
Ni 0.000 0.000 0.000
Hg 0.500 0.500 0.000
Hg 0.750 0.250 0.500
Ir 0.250 0.750 0.500



Order of stability, best first: arrangement one, arrangement two, arrangement three



Arrangement one

Below is a PBEsol-optimized structure of NiHg2Ir, with properties calculated at the SCAN level.

a b c (Å): 2.849 2.849 9.012
angles (deg): 90.00 90.00 117.69
Positions (direct):
Ni 0.000 0.000 0.000
Hg 0.500 0.500 0.237
Hg 0.500 0.500 0.763
Ir 0.000 0.000 0.500



Arrangement two

Below is a PBEsol-optimized structure of NiHg2Ir, with properties calculated at the SCAN level.

a b c (Å): 4.709 4.709 4.965
angles (deg): 102.44 102.44 36.92
Positions (direct):
Ni 0.000 0.000 0.000
Hg 0.256 0.256 0.758
Hg 0.744 0.744 0.242
Ir 0.500 0.500 0.500



Order of stability, best first: arrangement two, arrangement one



Arrangement one

Below is a PBEsol-optimized structure of HgPIr, with properties calculated at the SCAN level.

a b c (Å): 6.596 6.596 6.596
angles (deg): 154.78 154.78 35.96
Positions (direct):
Hg 0.000 0.000 0.000
P 0.715 0.715 0.000
Ir 0.316 0.316 0.000



Arrangement two

Below is a PBEsol-optimized structure of HgPIr, with properties calculated at the SCAN level.

a b c (Å): 3.927 3.927 3.942
angles (deg): 90.00 90.00 120.00
Positions (direct):
Hg 0.000 0.000 0.000
P 0.667 0.333 0.500
Ir 0.333 0.667 0.500



Order of stability, best first: arrangement one, arrangement two



Arrangement one

Below is a PBEsol-optimized structure of HgPIr2, with properties calculated at the SCAN level.

a b c (Å): 5.306 5.306 2.839
angles (deg): 105.36 105.36 115.81
Positions (direct):
Hg 0.000 0.000 0.000
P 0.500 0.500 0.000
Ir 0.000 0.500 0.000
Ir 0.500 0.000 0.000



Arrangement two

Below is a PBEsol-optimized structure of HgPIr2, with properties calculated at the SCAN level.

a b c (Å): 4.546 4.546 2.984
angles (deg): 90.00 90.00 98.73
Positions (direct):
Hg 0.000 0.000 0.000
P 0.500 0.500 0.000
Ir 0.000 0.500 0.500
Ir 0.500 0.000 0.500



Arrangement three

Below is a PBEsol-optimized structure of HgPIr2, with properties calculated at the SCAN level.

a b c (Å): 5.581 5.581 5.581
angles (deg): 104.15 104.15 120.73
Positions (direct):
Hg 0.000 0.000 0.000
Hg 0.750 0.250 0.500
P 0.250 0.750 0.500
P 0.500 0.500 0.000
Ir 0.195 0.125 0.570
Ir 0.375 0.805 0.930
Ir 0.555 0.625 0.430
Ir 0.875 0.445 0.070



Order of stability, best first: arrangement three, arrangement two, arrangement one



Arrangement one

Below is a PBEsol-optimized structure of ReHg2Ir, with properties calculated at the SCAN level.

a b c (Å): 4.769 4.769 2.952
angles (deg): 90.00 90.00 90.00
Positions (direct):
Re 0.000 0.000 0.000
Hg 0.000 0.500 0.500
Hg 0.500 0.000 0.500
Ir 0.500 0.500 0.000



Arrangement two

Below is a PBEsol-optimized structure of ReHg2Ir, with properties calculated at the SCAN level.

a b c (Å): 9.355 9.355 9.355
angles (deg): 17.80 17.80 17.80
Positions (direct):
Re 0.000 0.000 0.000
Hg 0.249 0.249 0.249
Hg 0.751 0.751 0.751
Ir 0.500 0.500 0.500



Arrangement three

Below is a PBEsol-optimized structure of ReHg2Ir, with properties calculated at the SCAN level.

a b c (Å): 4.571 4.571 4.571
angles (deg): 60.00 60.00 60.00
Positions (direct):
Re 0.000 0.000 0.000
Hg 0.250 0.250 0.250
Hg 0.750 0.750 0.750
Ir 0.500 0.500 0.500



Order of stability, best first: arrangement two, arrangement three, arrangement one